Entry from the Alexandria database: crystalline BeCo2Tc at its relaxed geometry (PBE-GGA).

Cell: 2.709 4.003 7.862 Å, 90.00 90.00 90.00°
Element x y z (fractional)
Be 0.000 0.000 0.000
Be 0.500 0.500 0.500
Co 0.000 0.500 0.272
Co 0.000 0.500 0.728
Co 0.500 0.000 0.228
Co 0.500 0.000 0.772
Tc 0.000 0.000 0.500
Tc 0.500 0.500 0.000

Properties
Density (g cm⁻³): 8.8
Total magnetic moment (μB/atom): 0.1315
Energy of formation (eV/f.u.): -0.2

Entry from the Alexandria database: crystalline Li2Pm3Mg2Pb4 at its relaxed geometry (PBE-GGA).

Cell: 4.840 4.840 14.846 Å, 90.00 90.00 120.00°
Element x y z (fractional)
Li 0.333 0.667 0.133
Li 0.667 0.333 0.867
Pm 0.000 0.000 0.000
Pm 0.000 0.000 0.263
Pm 0.000 0.000 0.737
Mg 0.333 0.667 0.570
Mg 0.667 0.333 0.430
Pb 0.333 0.667 0.365
Pb 0.333 0.667 0.879
Pb 0.667 0.333 0.121
Pb 0.667 0.333 0.635

Properties
Density (g cm⁻³): 7.3
Total magnetic moment (μB/atom): 0.0000
Energy of formation (eV/f.u.): -4.7

Entry from the Alexandria database: crystalline LaTbGd4 at its relaxed geometry (PBE-GGA).

Cell: 6.641 6.641 6.641 Å, 60.00 60.00 60.00°
Element x y z (fractional)
La 0.000 0.000 0.000
Tb 0.250 0.250 0.250
Gd 0.126 0.625 0.625
Gd 0.625 0.126 0.625
Gd 0.625 0.625 0.126
Gd 0.625 0.625 0.625

Properties
Density (g cm⁻³): 7.4
Total magnetic moment (μB/atom): 4.8263
Energy of formation (eV/f.u.): 1.5

Entry from the Alexandria database: crystalline Mg2AlCr at its relaxed geometry (PBE-GGA).

Cell: 6.604 6.604 6.604 Å, 90.00 90.00 90.00°
Element x y z (fractional)
Mg 0.000 0.000 0.000
Mg 0.000 0.500 0.500
Mg 0.250 0.250 0.250
Mg 0.250 0.750 0.750
Mg 0.500 0.000 0.500
Mg 0.500 0.500 0.000
Mg 0.750 0.250 0.750
Mg 0.750 0.750 0.250
Al 0.250 0.250 0.750
Al 0.250 0.750 0.250
Al 0.750 0.250 0.250
Al 0.750 0.750 0.750
Cr 0.000 0.000 0.500
Cr 0.000 0.500 0.000
Cr 0.500 0.000 0.000
Cr 0.500 0.500 0.500

Properties
Density (g cm⁻³): 2.9
Total magnetic moment (μB/atom): 0.9507
Energy of formation (eV/f.u.): 0.6

Entry from the Alexandria database: crystalline CoTe2IrOs at its relaxed geometry (PBE-GGA).

Cell: 4.781 4.781 4.412 Å, 90.00 90.00 90.00°
Element x y z (fractional)
Co 0.000 0.000 0.000
Te 0.000 0.500 0.000
Te 0.500 0.000 0.000
Ir 0.500 0.500 0.500
Os 0.000 0.000 0.500

Properties
Uncorrected formation energy (eV per atom): 1.4154
Density (g cm⁻³): 11.5
Total magnetic moment (μB/atom): 0.0000

Entry from the Alexandria database: crystalline LaVBOs2 at its relaxed geometry (PBE-GGA).

Cell: 4.293 4.293 4.382 Å, 90.00 90.00 90.00°
Element x y z (fractional)
La 0.000 0.000 0.000
V 0.500 0.500 0.000
B 0.500 0.500 0.500
Os 0.000 0.500 0.500
Os 0.500 0.000 0.500

Properties
Density (g cm⁻³): 11.9
Total magnetic moment (μB/atom): 0.5691
Energy of formation (eV/f.u.): 0.5